(1)
# Tb4Pr2DySc

An optimized crystal structure of Tb4Pr2DySc (PBE, the Alexandria database).

Properties
- DOS at the Fermi energy: 11.84 states/eV/cell
- DFT formation energy: 0.04 eV per atom

a b c (Å): 5.0418 5.0418 10.0519
angles (deg): 90.00 90.00 90.00
Closest atoms and distances in Å follow each position.
Space group P4/mmm (No. 123)
Asymmetric unit:
Tb1 0.0000 0.5000 0.2459 [4 per cell]  4 Pr 3.53-3.59, 2 Sc 3.53, 4 Tb 3.57, 2 Dy 3.59
Pr1 0.0000 0.0000 0.0000 [1 per cell]  8 Tb 3.53, 4 Sc 3.57
Pr2 0.5000 0.5000 0.5000 [1 per cell]  4 Dy 3.57, 8 Tb 3.59
Dy1 0.0000 0.0000 0.5000 [1 per cell]  4 Pr 3.57, 8 Tb 3.59
Sc1 0.5000 0.5000 0.0000 [1 per cell]  8 Tb 3.53, 4 Pr 3.57

(2)
# SnPb4S5

An optimized crystal structure of SnPb4S5 (PBE, the Alexandria database).

Properties
- Polymorph energy (0 for the lowest one): 0.00 eV/f.u.

a b c (Å): 4.2185 5.9676 21.1249
angles (deg): 90.00 90.00 90.00
Closest atoms and distances in Å follow each position.
Space group Immm (No. 71)
Asymmetric unit:
Sn1 0.0000 0.0000 0.0000 [2 per cell]  6 S 2.94-2.98
Pb1 0.0000 0.0000 0.1988 [4 per cell]  6 S 2.98-3.02
Pb2 0.0000 0.0000 0.4004 [4 per cell]  6 S 2.98-3.00
S1 0.0000 0.5000 0.0000 [2 per cell]  4 Pb 2.98, 2 Sn 2.98
S2 0.0000 0.5000 0.2008 [4 per cell]  6 Pb 2.98-3.00
S3 0.0000 0.5000 0.4034 [4 per cell]  2 Sn 2.94, 4 Pb 2.98-3.02

(3)
# NbRh

An optimized crystal structure of NbRh (PBE, the Alexandria database).

Properties
- DOS at the Fermi energy: 7.96 states/eV/cell
- DFT formation energy: 0.13 eV per atom

a b c (Å): 5.2408 5.2408 5.2408
angles (deg): 90.00 90.00 90.00
Closest atoms and distances in Å follow each position.
Space group Fm-3m (No. 225)
Asymmetric unit:
Nb1 0.0000 0.0000 0.0000 [4 per cell]  6 Rh 2.62
Rh1 0.0000 0.0000 0.5000 [4 per cell]  6 Nb 2.62

(4)
# Ba3Mg4Hg4

An optimized crystal structure of Ba3Mg4Hg4 (PBE, the Alexandria database).

Properties
- Polymorph energy (0 for the lowest one): 0.21 eV/f.u.
- DOS at the Fermi energy: 25.26 states/eV/cell
- DFT formation energy: -0.33 eV per atom

a b c (Å): 8.8691 8.8691 8.8691
angles (deg): 90.00 90.00 90.00
Closest atoms and distances in Å follow each position.
Space group I-43m (No. 217)
Asymmetric unit:
Ba1 0.0000 0.0000 0.5000 [6 per cell]  4 Hg 3.64, 4 Mg 3.67
Mg1 0.1276 0.1276 0.1276 [8 per cell]  4 Hg 2.75-2.97
Hg1 0.1936 0.1936 0.8064 [8 per cell]  4 Mg 2.75-2.97

(5)
# La4Ho2ErSc

An optimized crystal structure of La4Ho2ErSc (PBE, the Alexandria database).

Properties
- DOS at the Fermi energy: 10.77 states/eV/cell
- DFT formation energy: 0.02 eV per atom

a b c (Å): 5.1864 5.2282 9.7360
angles (deg): 90.00 90.00 90.00
Closest atoms and distances in Å follow each position.
Space group P2/m (No. 10)
Asymmetric unit:
La1 0.0008 0.0000 0.2544 [2 per cell]  4 Ho 3.52-3.60, 2 Sc 3.54, 2 Er 3.58-3.59, 4 La 3.68
La2 0.4984 0.5000 0.7454 [2 per cell]  2 Sc 3.52-3.53, 4 Ho 3.54-3.59, 2 Er 3.60, 4 La 3.68
Ho1 0.0000 0.5000 0.0000 [1 per cell]  8 La 3.58-3.60, 4 Er 3.68
Ho2 0.5000 0.0000 0.5000 [1 per cell]  8 La 3.52-3.54, 4 Sc 3.68
Er1 0.5000 0.0000 0.0000 [1 per cell]  8 La 3.58-3.60, 4 Ho 3.68
Sc1 0.0000 0.5000 0.5000 [1 per cell]  8 La 3.52-3.54, 4 Ho 3.68

(6)
# MgPt2Se

An optimized crystal structure of MgPt2Se (PBE, the Alexandria database).

Properties
- Polymorph energy (0 for the lowest one): 0.62 eV/f.u.
- DOS at the Fermi energy: 17.43 states/eV/cell

a b c (Å): 6.4442 6.4442 6.4442
angles (deg): 90.00 90.00 90.00
Closest atoms and distances in Å follow each position.
Space group Fm-3m (No. 225)
Asymmetric unit:
Mg1 0.0000 0.0000 0.0000 [4 per cell]  8 Pt 2.79
Pt1 0.2500 0.2500 0.2500 [8 per cell]  4 Se 2.79, 4 Mg 2.79
Se1 0.0000 0.0000 0.5000 [4 per cell]  8 Pt 2.79

(7)
# Sr3TeCl3

An optimized crystal structure of Sr3TeCl3 (PBE, the Alexandria database).

Properties
- Calculated total energy: -4.0018 eV per atom

a b c (Å): 8.3110 8.3110 24.2552
angles (deg): 90.00 90.00 120.00
Closest atoms and distances in Å follow each position.
Space group R-3 (No. 148, hexagonal axes)
Asymmetric unit:
Sr1 0.0000 0.3294 0.0784 [18 per cell]  4 Cl 2.96-3.19
Te1 0.0000 0.0000 0.3333 [6 per cell]  6 Sr 3.37
Cl1 0.9998 0.3333 0.2100 [18 per cell]  4 Sr 2.96-3.19

(8)
# DyCdO2

An optimized crystal structure of DyCdO2 (PBE, the Alexandria database).

Properties
- DOS at the Fermi energy: 4.03 states/eV/cell
- Calculated total energy: -6.1511 eV per atom

a b c (Å): 3.4939 3.4939 20.1617
angles (deg): 90.00 90.00 120.00
Closest atoms and distances in Å follow each position.
Space group R-3m (No. 166, hexagonal axes)
Asymmetric unit:
Dy1 0.0000 0.0000 0.0000 [3 per cell]  6 O 2.30
Cd1 0.0000 0.0000 0.5000 [3 per cell]  2 O 2.27
O1 0.0000 0.0000 0.3876 [6 per cell]  1 Cd 2.27, 3 Dy 2.30

(9)
# TmSc4Se6

An optimized crystal structure of TmSc4Se6 (PBE, the Alexandria database).

Properties
- DOS at the Fermi energy: 14.84 states/eV/cell
- Calculated total energy: -6.3045 eV per atom

a b c (Å): 3.8331 12.7179 19.8959
angles (deg): 90.00 90.00 90.00
Closest atoms and distances in Å follow each position.
Space group Cmcm (No. 63)
Asymmetric unit:
Tm1 0.0000 0.1515 0.2500 [4 per cell]  6 Se 2.82-2.89
Sc1 0.0000 0.0921 0.6245 [8 per cell]  6 Se 2.71-2.76
Sc2 0.0000 0.3579 0.5375 [8 per cell]  6 Se 2.70-2.76
Se1 0.0000 0.0000 0.0000 [4 per cell]  6 Sc 2.74
Se2 0.0000 0.1855 0.7500 [4 per cell]  2 Sc 2.76, 2 Tm 2.82
Se3 0.0000 0.2684 0.0891 [8 per cell]  5 Sc 2.70-2.76
Se4 0.0000 0.4505 0.6629 [8 per cell]  3 Sc 2.74-2.76, 2 Tm 2.89

(10)
# NdCl6F2

An optimized crystal structure of NdCl6F2 (PBE, the Alexandria database).

Properties
- DOS at the Fermi energy: 7.37 states/eV/cell
- Calculated total energy: -3.5742 eV per atom

a b c (Å): 3.6846 7.9505 10.3718
angles (deg): 104.67 100.04 103.14
Closest atoms and distances in Å follow each position.
Space group P-1 (No. 2)
Asymmetric unit:
Nd1 0.0000 0.0000 0.0000 [1 per cell]  4 F 2.29
Cl1 0.0530 0.4380 0.6673 [2 per cell]  1 Cl 2.07
Cl2 0.0642 0.8201 0.3127 [2 per cell]  1 Cl 2.07
Cl3 0.2071 0.1344 0.2875 [2 per cell]  1 Cl 2.52, 1 Nd 2.80
F1 0.4172 0.8258 0.0054 [2 per cell]  2 Nd 2.29

(11)
# MnTeOs

An optimized crystal structure of MnTeOs (PBE, the Alexandria database).

Properties
- Polymorph energy (0 for the lowest one): 1.20 eV/f.u.
- DOS at the Fermi energy: 2.79 states/eV/cell

a b c (Å): 3.1344 3.1344 6.1597
angles (deg): 90.00 90.00 120.00
Closest atoms and distances in Å follow each position.
Space group P3m1 (No. 156)
Asymmetric unit:
Mn1 0.0000 0.0000 0.0000 [1 per cell]  3 Os 2.53, 3 Te 2.82
Te1 0.6667 0.3333 0.6482 [1 per cell]  3 Mn 2.82, 3 Os 2.87, 6 Te 3.13
Os1 0.3333 0.6667 0.2860 [1 per cell]  3 Mn 2.53

(12)
# Hg2RuRh

An optimized crystal structure of Hg2RuRh (PBE, the Alexandria database).

Properties
- Polymorph energy (0 for the lowest one): 0.83 eV/f.u.
- DOS at the Fermi energy: 9.85 states/eV/cell
- DFT formation energy: 0.47 eV per atom

a b c (Å): 6.6121 6.6215 3.1860
angles (deg): 90.00 90.00 90.00
Closest atoms and distances in Å follow each position.
Space group Cmmm (No. 65)
Asymmetric unit:
Hg1 0.2500 0.2500 0.0000 [4 per cell]  4 Ru 2.83, 4 Rh 2.83
Ru1 0.0000 0.0000 0.5000 [2 per cell]  8 Hg 2.83
Rh1 0.0000 0.5000 0.5000 [2 per cell]  8 Hg 2.83

no.,total magnetic moment (μB per atom)
1,0.0000
2,0.0000
3,0.0000
4,0.0000
5,0.0000
6,0.0000
7,0.0000
8,0.0000
9,0.0000
10,0.0000
11,0.9942
12,0.4118